The following is a DFT calculation (PBE) of a geometry-optimized BaPmCl5 structure. Values from VASP.

```
&SYSTEM
  ibrav = 0, nat = 14, ntyp = 3
/
ATOMIC_SPECIES
Ba 137.33 Ba.upf
Pm 145.00 Pm.upf
Cl 35.45 Cl.upf
CELL_PARAMETERS angstrom
6.279 -4.476 0.000
6.279 4.476 0.000
-4.513 0.000 9.631
ATOMIC_POSITIONS crystal
Ba 0.051 0.949 0.750
Ba 0.949 0.051 0.250
Pm 0.500 0.500 0.000
Pm 0.500 0.500 0.500
Cl 0.184 0.789 0.029
Cl 0.211 0.816 0.471
Cl 0.245 0.287 0.378
Cl 0.287 0.245 0.878
Cl 0.414 0.586 0.750
Cl 0.586 0.414 0.250
Cl 0.713 0.755 0.122
Cl 0.755 0.713 0.622
Cl 0.789 0.184 0.529
Cl 0.816 0.211 0.971
```

## Properties
VASP energy = -4.62 eV/atom
energy above the lowest structure with this stoichiometry = 4.0 kJ per mole of atoms
mass density = 2.8 Mg/m³
M_tot = 0.00 μB per cell
symmetry = C2/c, No. 15
ΔE_f (raw) = -2.35 eV per atom
DOS(E_F) = 0.0 states/eV/cell

***

The following is a DFT calculation (PBE) of a geometry-optimized BaPmCl5 structure. Values from VASP.

```
&SYSTEM
  ibrav = 0, nat = 14, ntyp = 3
/
ATOMIC_SPECIES
Ba 137.33 Ba.upf
Pm 145.00 Pm.upf
Cl 35.45 Cl.upf
CELL_PARAMETERS angstrom
2.783 -9.864 0.000
2.783 9.864 0.000
-0.420 0.000 6.994
ATOMIC_POSITIONS crystal
Ba 0.174 0.826 0.750
Ba 0.826 0.174 0.250
Pm 0.423 0.577 0.750
Pm 0.577 0.423 0.250
Cl 0.126 0.874 0.250
Cl 0.224 0.292 0.401
Cl 0.292 0.224 0.901
Cl 0.304 0.682 0.002
Cl 0.318 0.696 0.498
Cl 0.682 0.304 0.502
Cl 0.696 0.318 0.998
Cl 0.708 0.776 0.099
Cl 0.776 0.708 0.599
Cl 0.874 0.126 0.750
```

## Properties
VASP energy = -4.66 eV/atom
energy above the lowest structure with this stoichiometry = 0.0 kJ per mole of atoms
mass density = 4.0 Mg/m³
M_tot = 0.00 μB per cell
symmetry = C2/c, No. 15
ΔE_f (raw) = -2.39 eV per atom
DOS(E_F) = 0.0 states/eV/cell